Record 1
Below is an optimized crystal structure of AgC4, with properties calculated at the PBE-GGA level.

Cell lengths 4.3063, 4.3063, 4.3063 Å; angles 109.47, 109.47, 109.47 degrees
Fractional positions:
C 0.0000 0.5000 0.0000
C 0.0000 0.0000 0.5000
C 0.5000 0.0000 0.0000
C 0.5000 0.5000 0.5000
Ag 0.0000 0.0000 0.0000

Summary:
final energy	-3.7599	eV per atom
calculated density	4.21	g/cm3
total magnetic moment	0.0	μB per formula unit
DOS at the Fermi energy	4.61	states/eV/f.u.
SG	Im-3m, No. 229
ΔE_f	4.1894	eV per atom
energy above the lowest structure with this stoichiometry	2826	meV/atom

***

Record 2
Below is an optimized crystal structure of Cs2SbF, with properties calculated at the PBE-GGA level.

Cell lengths 8.8374, 8.8374, 7.8996 Å; angles 55.99, 55.99, 90.00 degrees
Fractional positions:
Cs 0.2283 0.6250 0.2500
Cs 0.8750 0.7717 0.7500
Cs 0.3750 0.4783 0.7500
Cs 0.5217 0.1250 0.2500
Sb 0.0000 0.0000 0.0000
Sb 0.7500 0.2500 0.5000
F 0.5000 0.5000 0.0000
F 0.2500 0.7500 0.5000

Summary:
final energy	-3.0770	eV per atom
calculated density	3.58	g/cm3
total magnetic moment	2.0	μB per formula unit
DOS at the Fermi energy	0.34	states/eV/f.u.
energy relative to the elements, uncorrected	-1.152	eV/atom
SG	I-42d, No. 122

***

Q: DOS at the Fermi energy of number 2 (Cs2SbF)?
A: 0.34 states/eV/f.u.